1.
A plane-wave DFT calculation with PBE was carried out for a relaxed structure of GdGaAg.

Summary:
* E: -0.1450 hartree per atom

abc: 7.625 7.625 3.881
angles: 90.00 90.00 120.00
Sites, in units of the cell vectors:
Gd 0.405 0.000 0.500
Gd 0.000 0.405 0.500
Gd 0.595 0.595 0.500
Ga 0.738 0.000 0.000
Ga 0.262 0.262 0.000
Ga 0.000 0.738 0.000
Ag 0.000 0.000 0.500
Ag 0.667 0.333 0.000
Ag 0.333 0.667 0.000

***

2.
A plane-wave DFT calculation with PBE was carried out for a relaxed structure of Sc4Cu3W2C3.

Summary:
* E: -0.2862 hartree per atom

abc: 5.506 5.506 13.644
angles: 100.71 100.71 60.25
Sites, in units of the cell vectors:
Sc 0.362 0.181 0.091
Sc 0.819 0.638 0.409
Sc 0.880 0.020 0.608
Sc 0.020 0.880 0.108
Sc 0.181 0.362 0.591
Sc 0.980 0.120 0.892
Sc 0.120 0.980 0.392
Sc 0.638 0.819 0.909
W 0.294 0.478 0.922
W 0.706 0.522 0.078
W 0.478 0.294 0.422
W 0.522 0.706 0.578
C 0.663 0.187 0.999
C 0.000 0.500 0.000
C 0.337 0.813 0.001
C 0.187 0.663 0.499
C 0.500 0.000 0.500
C 0.813 0.337 0.501
Cu 0.618 0.382 0.250
Cu 0.620 0.901 0.249
Cu 0.099 0.380 0.251
Cu 0.901 0.620 0.749
Cu 0.380 0.099 0.751
Cu 0.382 0.618 0.750

***

3.
A plane-wave DFT calculation with PBE was carried out for a relaxed structure of DyYCo2Ge2C.

Summary:
* E: -0.2526 hartree per atom

abc: 5.714 5.714 6.840
angles: 125.64 125.64 40.17
Sites, in units of the cell vectors:
Co 0.809 0.809 0.918
Co 0.192 0.192 0.082
Ge 0.838 0.838 0.297
Ge 0.162 0.162 0.703
Y 0.440 0.440 0.707
Dy 0.559 0.559 0.292
C 0.000 0.000 0.001

***

4.
A plane-wave DFT calculation with PBE was carried out for a relaxed structure of Be2NiAs.

Summary:
* E: -0.1534 hartree per atom

abc: 4.008 4.008 4.008
angles: 60.00 60.00 60.00
Sites, in units of the cell vectors:
Ni 0.250 0.250 0.250
As 0.500 0.500 0.500
Be 0.750 0.750 0.750
Be 0.000 0.000 0.000

***

5.
A plane-wave DFT calculation with PBE was carried out for a relaxed structure of TbGdPb.

Summary:
* E: -0.1672 hartree per atom

abc: 5.209 5.209 5.209
angles: 60.00 60.00 60.00
Sites, in units of the cell vectors:
Gd 0.250 0.250 0.250
Tb 0.750 0.750 0.750
Pb 0.000 0.000 0.000

***

6.
A plane-wave DFT calculation with PBE was carried out for a relaxed structure of Zr2Pd2O5.

Summary:
* polymorph energy (0 for the lowest one): 0 meV per atom
* E: -0.2779 hartree per atom

abc: 8.360 3.848 3.848
angles: 90.00 90.00 90.00
Each line ends with the local moment (μB).
Sites, in units of the cell vectors:
O 0.169 0.000 0.500  0.17
O 0.500 0.500 0.500  0.02
O 0.169 0.500 0.000  0.13
O 0.831 0.000 0.500  0.17
O 0.831 0.500 0.000  0.13
Zr 0.742 0.500 0.500  0.00
Zr 0.258 0.500 0.500  0.00
Pd 0.500 0.000 0.000  0.15
Pd 0.000 0.000 0.000  1.22

***

Which of these has the highest E? GdGaAg

***

Please write out number 2 again, unchanged.
A plane-wave DFT calculation with PBE was carried out for a relaxed structure of Sc4Cu3W2C3.

Summary:
* E: -0.2862 hartree per atom

abc: 5.506 5.506 13.644
angles: 100.71 100.71 60.25
Sites, in units of the cell vectors:
Sc 0.362 0.181 0.091
Sc 0.819 0.638 0.409
Sc 0.880 0.020 0.608
Sc 0.020 0.880 0.108
Sc 0.181 0.362 0.591
Sc 0.980 0.120 0.892
Sc 0.120 0.980 0.392
Sc 0.638 0.819 0.909
W 0.294 0.478 0.922
W 0.706 0.522 0.078
W 0.478 0.294 0.422
W 0.522 0.706 0.578
C 0.663 0.187 0.999
C 0.000 0.500 0.000
C 0.337 0.813 0.001
C 0.187 0.663 0.499
C 0.500 0.000 0.500
C 0.813 0.337 0.501
Cu 0.618 0.382 0.250
Cu 0.620 0.901 0.249
Cu 0.099 0.380 0.251
Cu 0.901 0.620 0.749
Cu 0.380 0.099 0.751
Cu 0.382 0.618 0.750

***

Which formula does entry 3 have? DyYCo2Ge2C